(1)
Be2FePt: relaxed, GGA-PBE.

CIF file:
```
data_Be2FePt
_chemical_formula_sum 'Be4 Fe2 Pt2'
_cell_length_a 3.6964
_cell_length_b 2.7048
_cell_length_c 8.5465
_cell_angle_alpha 90.00
_cell_angle_beta 90.00
_cell_angle_gamma 90.00
_symmetry_space_group_name_H-M 'A m m 2'
_symmetry_Int_Tables_number 38
loop_
_symmetry_equiv_pos_as_xyz
'x,y,z'
'-x,-y,z'
'-x,y,z'
'x,-y,z'
'x,y+1/2,z+1/2'
'-x,-y+1/2,z+1/2'
'-x,y+1/2,z+1/2'
'x,-y+1/2,z+1/2'
loop_
_atom_site_label
_atom_site_fract_x
_atom_site_fract_y
_atom_site_fract_z
Be1 0.0000 0.0000 0.0000
Be2 0.5000 0.0000 0.1509
Fe1 0.0000 0.0000 0.7228
Pt1 0.5000 0.0000 0.4223
```

Values from the calculation:
* crystal system: orthorhombic
* energy of formation from the pure elements: -382 meV/atom

(2)
Dy6GaP2Se3: relaxed, GGA-PBE.

CIF file:
```
data_Dy6GaP2Se3
_chemical_formula_sum 'Dy12 Ga2 P4 Se6'
_cell_length_a 17.8529
_cell_length_b 4.0158
_cell_length_c 8.2665
_cell_angle_alpha 90.00
_cell_angle_beta 103.95
_cell_angle_gamma 90.00
_symmetry_space_group_name_H-M 'C 1 2/m 1'
_symmetry_Int_Tables_number 12
loop_
_symmetry_equiv_pos_as_xyz
'x,y,z'
'-x,-y,-z'
'-x,y,-z'
'x,-y,z'
'x+1/2,y+1/2,z'
'-x+1/2,-y+1/2,-z'
'-x+1/2,y+1/2,-z'
'x+1/2,-y+1/2,z'
loop_
_atom_site_label
_atom_site_fract_x
_atom_site_fract_y
_atom_site_fract_z
Dy1 0.0037 0.0000 0.2488
Dy2 0.1646 0.5000 0.0953
Dy3 0.1720 0.5000 0.5714
Ga1 0.0000 0.5000 0.0000
P1 0.1675 0.0000 0.3353
Se1 0.0000 0.5000 0.5000
Se2 0.1679 0.0000 0.8312
```

Values from the calculation:
* formation energy without anion corrections: -1571 meV/atom
* crystal system: monoclinic

(3)
La2Ho2Rh3: relaxed, GGA-PBE.

CIF file:
```
data_La2Ho2Rh3
_chemical_formula_sum 'La8 Ho8 Rh12'
_cell_length_a 8.7767
_cell_length_b 8.7767
_cell_length_c 8.7767
_cell_angle_alpha 90.00
_cell_angle_beta 90.00
_cell_angle_gamma 90.00
_symmetry_space_group_name_H-M 'I 21 3'
_symmetry_Int_Tables_number 199
_symmetry_space_group_name_Hall 'I 2b 2c 3'
loop_
_atom_site_label
_atom_site_fract_x
_atom_site_fract_y
_atom_site_fract_z
La1 0.1898 0.1898 0.1898
Ho1 0.0563 0.4437 0.5563
Rh1 0.0000 0.2500 0.8366
```

Values from the calculation:
* crystal system: cubic
* energy of formation from the pure elements: -753 meV/atom

(4)
Cr3SiTc: relaxed, GGA-PBE.

CIF file:
```
data_Cr3SiTc
_chemical_formula_sum 'Cr3 Si1 Tc1'
_cell_length_a 4.6067
_cell_length_b 4.6067
_cell_length_c 4.6067
_cell_angle_alpha 90.00
_cell_angle_beta 90.00
_cell_angle_gamma 90.00
_symmetry_space_group_name_H-M 'P m -3 m'
_symmetry_Int_Tables_number 221
_symmetry_space_group_name_Hall '-P 4 2 3'
loop_
_atom_site_label
_atom_site_fract_x
_atom_site_fract_y
_atom_site_fract_z
Cr1 0.0000 0.0000 0.5000
Si1 0.5000 0.5000 0.5000
Tc1 0.0000 0.0000 0.0000
```

Values from the calculation:
* formation energy without anion corrections: 1403 meV/atom
* crystal system: cubic

(5)
BaSrTlSe2: relaxed, GGA-PBE.

CIF file:
```
data_BaSrTlSe2
_chemical_formula_sum 'Ba1 Sr1 Tl1 Se2'
_cell_length_a 5.7630
_cell_length_b 5.7630
_cell_length_c 6.4529
_cell_angle_alpha 90.00
_cell_angle_beta 90.00
_cell_angle_gamma 90.00
_symmetry_space_group_name_H-M 'P 4/m m m'
_symmetry_Int_Tables_number 123
_symmetry_space_group_name_Hall '-P 4 2'
loop_
_atom_site_label
_atom_site_fract_x
_atom_site_fract_y
_atom_site_fract_z
Ba1 0.0000 0.0000 0.0000
Sr1 0.0000 0.0000 0.5000
Tl1 0.5000 0.5000 0.0000
Se1 0.0000 0.5000 0.5000
```

Values from the calculation:
* formation energy without anion corrections: -303 meV/atom
* crystal system: tetragonal

(6)
CaNiHg2: relaxed, GGA-PBE.

CIF file:
```
data_CaNiHg2
_chemical_formula_sum 'Ca2 Ni2 Hg4'
_cell_length_a 4.1204
_cell_length_b 4.7648
_cell_length_c 8.7765
_cell_angle_alpha 90.00
_cell_angle_beta 90.00
_cell_angle_gamma 90.00
_symmetry_space_group_name_H-M 'I m m 2'
_symmetry_Int_Tables_number 44
loop_
_symmetry_equiv_pos_as_xyz
'x,y,z'
'-x,-y,z'
'-x,y,z'
'x,-y,z'
'x+1/2,y+1/2,z+1/2'
'-x+1/2,-y+1/2,z+1/2'
'-x+1/2,y+1/2,z+1/2'
'x+1/2,-y+1/2,z+1/2'
loop_
_atom_site_label
_atom_site_fract_x
_atom_site_fract_y
_atom_site_fract_z
Ca1 0.0000 0.0000 0.0000
Ni1 0.0000 0.5000 0.7638
Hg1 0.0000 0.0000 0.4640
Hg2 0.0000 0.5000 0.2292
```

Values from the calculation:
* crystal system: orthorhombic
* energy of formation from the pure elements: -75 meV/atom

(7)
Rb3CeSc2Te6: relaxed, GGA-PBE.

CIF file:
```
data_Rb3CeSc2Te6
_chemical_formula_sum 'Rb6 Ce2 Sc4 Te12'
_cell_length_a 7.7261
_cell_length_b 13.3843
_cell_length_c 8.9027
_cell_angle_alpha 90.00
_cell_angle_beta 106.89
_cell_angle_gamma 90.00
_symmetry_space_group_name_H-M 'C 1 2/m 1'
_symmetry_Int_Tables_number 12
loop_
_symmetry_equiv_pos_as_xyz
'x,y,z'
'-x,-y,-z'
'-x,y,-z'
'x,-y,z'
'x+1/2,y+1/2,z'
'-x+1/2,-y+1/2,-z'
'-x+1/2,y+1/2,-z'
'x+1/2,-y+1/2,z'
loop_
_atom_site_label
_atom_site_fract_x
_atom_site_fract_y
_atom_site_fract_z
Rb1 0.0000 0.0000 0.0000
Rb2 0.0000 0.3381 0.0000
Ce1 0.0000 0.5000 0.5000
Sc1 0.0000 0.1672 0.5000
Te1 0.2117 0.0000 0.6926
Te2 0.2412 0.3237 0.6941
```

Values from the calculation:
* formation energy without anion corrections: -1258 meV/atom
* crystal system: monoclinic

(8)
La3TaP: relaxed, GGA-PBE.

CIF file:
```
data_La3TaP
_chemical_formula_sum 'La3 Ta1 P1'
_cell_length_a 5.5489
_cell_length_b 5.5489
_cell_length_c 5.5489
_cell_angle_alpha 90.00
_cell_angle_beta 90.00
_cell_angle_gamma 90.00
_symmetry_space_group_name_H-M 'P m -3 m'
_symmetry_Int_Tables_number 221
_symmetry_space_group_name_Hall '-P 4 2 3'
loop_
_atom_site_label
_atom_site_fract_x
_atom_site_fract_y
_atom_site_fract_z
La1 0.0000 0.0000 0.5000
Ta1 0.5000 0.5000 0.5000
P1 0.0000 0.0000 0.0000
```

Values from the calculation:
* crystal system: cubic
* energy of formation from the pure elements: 201 meV/atom

(9)
RbSm2RuO8: relaxed, GGA-PBE.

CIF file:
```
data_RbSm2RuO8
_chemical_formula_sum 'Rb1 Sm2 Ru1 O8'
_cell_length_a 4.4159
_cell_length_b 5.1887
_cell_length_c 7.6145
_cell_angle_alpha 89.67
_cell_angle_beta 74.34
_cell_angle_gamma 88.61
_symmetry_space_group_name_H-M 'P -1'
_symmetry_Int_Tables_number 2
loop_
_symmetry_equiv_pos_as_xyz
'x,y,z'
'-x,-y,-z'
loop_
_atom_site_label
_atom_site_fract_x
_atom_site_fract_y
_atom_site_fract_z
Rb1 0.0000 0.0000 0.0000
Sm1 0.3856 0.5161 0.3055
Ru1 0.0000 0.0000 0.5000
O1 0.1613 0.3099 0.5979
O2 0.2223 0.7732 0.6132
O3 0.3271 0.4992 0.0084
O4 0.3393 0.9947 0.2836
```

Values from the calculation:
* formation energy without anion corrections: -1852 meV/atom
* crystal system: triclinic

(10)
LaSm2CdC: relaxed, GGA-PBE.

CIF file:
```
data_LaSm2CdC
_chemical_formula_sum 'La1 Sm2 Cd1 C1'
_cell_length_a 5.0725
_cell_length_b 5.0725
_cell_length_c 5.2215
_cell_angle_alpha 90.00
_cell_angle_beta 90.00
_cell_angle_gamma 90.00
_symmetry_space_group_name_H-M 'P 4/m m m'
_symmetry_Int_Tables_number 123
_symmetry_space_group_name_Hall '-P 4 2'
loop_
_atom_site_label
_atom_site_fract_x
_atom_site_fract_y
_atom_site_fract_z
La1 0.0000 0.0000 0.0000
Sm1 0.0000 0.5000 0.5000
Cd1 0.5000 0.5000 0.0000
C1 0.0000 0.0000 0.5000
```

Values from the calculation:
* crystal system: tetragonal
* energy of formation from the pure elements: -185 meV/atom

(11)
RbTeAuI2: relaxed, GGA-PBE.

CIF file:
```
data_RbTeAuI2
_chemical_formula_sum 'Rb1 Te1 Au1 I2'
_cell_length_a 6.8388
_cell_length_b 6.8388
_cell_length_c 7.0056
_cell_angle_alpha 90.00
_cell_angle_beta 90.00
_cell_angle_gamma 90.00
_symmetry_space_group_name_H-M 'P 4/m m m'
_symmetry_Int_Tables_number 123
_symmetry_space_group_name_Hall '-P 4 2'
loop_
_atom_site_label
_atom_site_fract_x
_atom_site_fract_y
_atom_site_fract_z
Rb1 0.0000 0.0000 0.0000
Te1 0.0000 0.0000 0.5000
Au1 0.5000 0.5000 0.5000
I1 0.0000 0.5000 0.0000
```

Values from the calculation:
* formation energy without anion corrections: 636 meV/atom
* crystal system: tetragonal

(12)
PmNdNi4: relaxed, GGA-PBE.

CIF file:
```
data_PmNdNi4
_chemical_formula_sum 'Pm4 Nd4 Ni16'
_cell_length_a 7.3002
_cell_length_b 7.3002
_cell_length_c 7.3002
_cell_angle_alpha 90.00
_cell_angle_beta 90.00
_cell_angle_gamma 90.00
_symmetry_space_group_name_H-M 'F -4 3 m'
_symmetry_Int_Tables_number 216
_symmetry_space_group_name_Hall 'F -4 2 3'
loop_
_atom_site_label
_atom_site_fract_x
_atom_site_fract_y
_atom_site_fract_z
Pm1 0.0000 0.0000 0.0000
Nd1 0.2500 0.2500 0.7500
Ni1 0.1251 0.1251 0.3749
```

Values from the calculation:
* crystal system: cubic
* energy of formation from the pure elements: -327 meV/atom

(13)
Tm2MgAl2Ir5: relaxed, GGA-PBE.

CIF file:
```
data_Tm2MgAl2Ir5
_chemical_formula_sum 'Tm4 Mg2 Al4 Ir10'
_cell_length_a 9.8590
_cell_length_b 9.8590
_cell_length_c 3.4661
_cell_angle_alpha 90.00
_cell_angle_beta 90.00
_cell_angle_gamma 90.00
_symmetry_space_group_name_H-M 'P 4/m b m'
_symmetry_Int_Tables_number 127
_symmetry_space_group_name_Hall '-P 4 2ab'
loop_
_atom_site_label
_atom_site_fract_x
_atom_site_fract_y
_atom_site_fract_z
Tm1 0.1746 0.3254 0.0000
Mg1 0.0000 0.0000 0.0000
Al1 0.1248 0.6248 0.0000
Ir1 0.0000 0.5000 0.5000
Ir2 0.0661 0.7932 0.5000
```

Values from the calculation:
* crystal system: tetragonal
* energy of formation from the pure elements: -730 meV/atom

(14)
AcP2Pd5Pb: relaxed, GGA-PBE.

CIF file:
```
data_AcP2Pd5Pb
_chemical_formula_sum 'Ac1 P2 Pd5 Pb1'
_cell_length_a 4.2411
_cell_length_b 4.2411
_cell_length_c 9.3437
_cell_angle_alpha 90.00
_cell_angle_beta 90.00
_cell_angle_gamma 90.00
_symmetry_space_group_name_H-M 'P 4/m m m'
_symmetry_Int_Tables_number 123
_symmetry_space_group_name_Hall '-P 4 2'
loop_
_atom_site_label
_atom_site_fract_x
_atom_site_fract_y
_atom_site_fract_z
Ac1 0.0000 0.0000 0.0000
P1 0.5000 0.5000 0.1621
Pd1 0.0000 0.5000 0.2817
Pd2 0.5000 0.5000 0.5000
Pb1 0.0000 0.0000 0.5000
```

Values from the calculation:
* crystal system: tetragonal
* energy of formation from the pure elements: -670 meV/atom

(15)
KZnSeN2: relaxed, GGA-PBE.

CIF file:
```
data_KZnSeN2
_chemical_formula_sum 'K1 Zn1 Se1 N2'
_cell_length_a 4.8658
_cell_length_b 4.8658
_cell_length_c 6.4621
_cell_angle_alpha 90.00
_cell_angle_beta 90.00
_cell_angle_gamma 90.00
_symmetry_space_group_name_H-M 'P 4/m m m'
_symmetry_Int_Tables_number 123
_symmetry_space_group_name_Hall '-P 4 2'
loop_
_atom_site_label
_atom_site_fract_x
_atom_site_fract_y
_atom_site_fract_z
K1 0.0000 0.0000 0.0000
Zn1 0.5000 0.5000 0.5000
Se1 0.0000 0.0000 0.5000
N1 0.0000 0.5000 0.0000
```

Values from the calculation:
* formation energy without anion corrections: 2062 meV/atom
* crystal system: tetragonal

(16)
La6ZnPt: relaxed, GGA-PBE.

CIF file:
```
data_La6ZnPt
_chemical_formula_sum 'La12 Zn2 Pt2'
_cell_length_a 5.2957
_cell_length_b 5.2957
_cell_length_c 17.7013
_cell_angle_alpha 90.00
_cell_angle_beta 90.00
_cell_angle_gamma 90.00
_symmetry_space_group_name_H-M 'I 4/m m m'
_symmetry_Int_Tables_number 139
_symmetry_space_group_name_Hall '-I 4 2'
loop_
_atom_site_label
_atom_site_fract_x
_atom_site_fract_y
_atom_site_fract_z
La1 0.0000 0.0000 0.2477
La2 0.0000 0.5000 0.1004
Zn1 0.0000 0.0000 0.0000
Pt1 0.0000 0.0000 0.5000
```

Values from the calculation:
* crystal system: tetragonal
* energy of formation from the pure elements: -331 meV/atom

(17)
Ba12NaAg6: relaxed, GGA-PBE.

CIF file:
```
data_Ba12NaAg6
_chemical_formula_sum 'Ba36 Na3 Ag18'
_cell_length_a 17.1723
_cell_length_b 17.1723
_cell_length_c 10.8375
_cell_angle_alpha 90.00
_cell_angle_beta 90.00
_cell_angle_gamma 120.00
_symmetry_space_group_name_H-M 'R -3'
_symmetry_Int_Tables_number 148
_symmetry_space_group_name_Hall '-R 3'
loop_
_atom_site_label
_atom_site_fract_x
_atom_site_fract_y
_atom_site_fract_z
Ba1 0.0399 0.2634 0.4314
Ba2 0.0614 0.1793 0.8362
Na1 0.0000 0.0000 0.5000
Ag1 0.0779 0.4992 0.7940
```

Values from the calculation:
* crystal system: trigonal
* energy of formation from the pure elements: -110 meV/atom

(18)
SmZnGa2: relaxed, GGA-PBE.

CIF file:
```
data_SmZnGa2
_chemical_formula_sum 'Sm1 Zn1 Ga2'
_cell_length_a 4.3352
_cell_length_b 4.3352
_cell_length_c 4.2915
_cell_angle_alpha 90.00
_cell_angle_beta 90.00
_cell_angle_gamma 90.00
_symmetry_space_group_name_H-M 'P 4/m m m'
_symmetry_Int_Tables_number 123
_symmetry_space_group_name_Hall '-P 4 2'
loop_
_atom_site_label
_atom_site_fract_x
_atom_site_fract_y
_atom_site_fract_z
Sm1 0.0000 0.0000 0.0000
Zn1 0.5000 0.5000 0.0000
Ga1 0.0000 0.5000 0.5000
```

Values from the calculation:
* crystal system: tetragonal
* energy of formation from the pure elements: -441 meV/atom

(19)
K2SrP: relaxed, GGA-PBE.

CIF file:
```
data_K2SrP
_chemical_formula_sum 'K8 Sr4 P4'
_cell_length_a 4.7540
_cell_length_b 4.7540
_cell_length_c 25.6294
_cell_angle_alpha 90.00
_cell_angle_beta 90.00
_cell_angle_gamma 90.00
_symmetry_space_group_name_H-M 'I -4 2 d'
_symmetry_Int_Tables_number 122
_symmetry_space_group_name_Hall 'I -4 2bw'
loop_
_atom_site_label
_atom_site_fract_x
_atom_site_fract_y
_atom_site_fract_z
K1 0.2085 0.2500 0.1250
Sr1 0.0000 0.0000 0.5000
P1 0.0000 0.0000 0.0000
```

Values from the calculation:
* crystal system: tetragonal
* energy of formation from the pure elements: -37 meV/atom

(20)
TbPm2DyY: relaxed, GGA-PBE.

CIF file:
```
data_TbPm2DyY
_chemical_formula_sum 'Tb4 Pm8 Dy4 Y4'
_cell_length_a 8.3561
_cell_length_b 11.6358
_cell_length_c 7.2376
_cell_angle_alpha 90.00
_cell_angle_beta 90.00
_cell_angle_gamma 90.00
_symmetry_space_group_name_H-M 'C m c m'
_symmetry_Int_Tables_number 63
_symmetry_space_group_name_Hall '-C 2c 2'
loop_
_atom_site_label
_atom_site_fract_x
_atom_site_fract_y
_atom_site_fract_z
Tb1 0.0000 0.0265 0.2500
Pm1 0.1928 0.5000 0.0000
Dy1 0.0000 0.2885 0.2500
Y1 0.0000 0.2571 0.7500
```

Values from the calculation:
* crystal system: orthorhombic
* energy of formation from the pure elements: 410 meV/atom

Number 1: E_tot -5.87 eV per atom. Number 2: E_tot -5.90 eV per atom. Number 3: E_tot -6.62 eV per atom. Number 4: E_tot -7.53 eV per atom. Number 5: E_tot -2.89 eV per atom. Number 6: E_tot -2.17 eV per atom. Number 7: E_tot -4.62 eV per atom. Number 8: E_tot -6.21 eV per atom. Number 9: E_tot -6.80 eV per atom. Number 10: E_tot -5.09 eV per atom. Number 11: E_tot -1.46 eV per atom. Number 12: E_tot -5.77 eV per atom. Number 13: E_tot -6.96 eV per atom. Number 14: E_tot -5.63 eV per atom. Number 15: E_tot -2.44 eV per atom. Number 16: E_tot -4.94 eV per atom. Number 17: E_tot -2.29 eV per atom. Number 18: E_tot -3.45 eV per atom. Number 19: E_tot -2.36 eV per atom. Number 20: E_tot -4.63 eV per atom.